Computed, not measured: a geometry-optimized ErTm2HfP4 structure at the PBE level of DFT.

```
data_ErTm2HfP4
_chemical_formula_sum 'Er1 Tm2 Hf1 P4'
_space_group_name_H-M_alt 'P 1'
_space_group_IT_number 1
_space_group_name_Hall 'P 1'
_cell_length_a 6.718
_cell_length_b 3.874
_cell_length_c 6.720
_cell_angle_alpha 90.00
_cell_angle_beta 109.26
_cell_angle_gamma 90.00
loop_
_atom_site_label
_atom_site_type_symbol
_atom_site_fract_x
_atom_site_fract_y
_atom_site_fract_z
Er1 Er 0.000 0.000 0.000
Tm1 Tm 0.500 0.000 0.500
Tm2 Tm 0.500 0.500 0.000
Hf1 Hf 0.000 0.500 0.500
P1 P 0.240 0.000 0.739
P2 P 0.245 0.500 0.257
P3 P 0.755 0.500 0.743
P4 P 0.760 0.000 0.261
```

Properties
Electronic total energy in Ry/atom: -0.5270
Calculated density in g/cm³: 8.121